Arrangement one

## KSr3Sn (PBE-GGA)

Data for a geometry-optimized KSr3Sn structure.

```
data_KSr3Sn
_chemical_formula_sum 'K1 Sr3 Sn1'
_symmetry_space_group_name_H-M 'P m -3 m'
_symmetry_Int_Tables_number 221
_symmetry_space_group_name_Hall '-P 4 2 3'
_cell_length_a 6.409
_cell_length_b 6.409
_cell_length_c 6.409
_cell_angle_alpha 90.00
_cell_angle_beta 90.00
_cell_angle_gamma 90.00
loop_
_atom_site_label
_atom_site_fract_x
_atom_site_fract_y
_atom_site_fract_z
K1 0.000 0.000 0.000
Sr1 0.000 0.000 0.500
Sn1 0.500 0.500 0.500
```

***

Arrangement two

## KSr3Sn (PBE-GGA)

Data for a geometry-optimized KSr3Sn structure.

```
data_KSr3Sn
_chemical_formula_sum 'K1 Sr3 Sn1'
_symmetry_space_group_name_H-M 'P m -3 m'
_symmetry_Int_Tables_number 221
_symmetry_space_group_name_Hall '-P 4 2 3'
_cell_length_a 6.544
_cell_length_b 6.544
_cell_length_c 6.544
_cell_angle_alpha 90.00
_cell_angle_beta 90.00
_cell_angle_gamma 90.00
loop_
_atom_site_label
_atom_site_fract_x
_atom_site_fract_y
_atom_site_fract_z
K1 0.000 0.000 0.000
Sr1 0.000 0.500 0.500
Sn1 0.500 0.500 0.500
```

***

Which structure is the most stable? The one labeled arrangement two.